(one)
Compound: Pr2Ho2CI3Cl2
Source: OQMD via LeMat-Bulk
Functional: PBE
Structure: optimized geometry

a = 17.969 Å, b = 3.950 Å, c = 8.581 Å
α = 90.00°, β = 102.84°, γ = 90.00°
Space group C2/m (No. 12)
Unique sites:
Pr  0.144  0.000  0.065 [4 per cell]
Ho  0.002  0.500  0.812 [4 per cell]
C  0.000  0.000  0.000 [2 per cell]
I  0.000  0.000  0.500 [2 per cell]
I  0.168  0.500  0.356 [4 per cell]
Cl  0.161  0.500  0.829 [4 per cell]

(two)
Compound: Pr2Ho2CI3Cl2
Source: OQMD via LeMat-Bulk
Functional: PBE
Structure: optimized geometry

a = 17.788 Å, b = 3.974 Å, c = 9.029 Å
α = 90.00°, β = 103.02°, γ = 90.00°
Space group C2/m (No. 12)
Unique sites:
Pr  0.003  0.000  0.306 [4 per cell]
Ho  0.138  0.500  0.563 [4 per cell]
C  0.000  0.500  0.500 [2 per cell]
I  0.000  0.500  0.000 [2 per cell]
I  0.181  0.000  0.822 [4 per cell]
Cl  0.173  0.000  0.379 [4 per cell]

Stability, lowest: (one)

(one)
Compound: Pr2Ho2CI4Cl
Source: OQMD via LeMat-Bulk
Functional: PBE
Structure: optimized geometry

a = 19.015 Å, b = 3.939 Å, c = 8.468 Å
α = 90.00°, β = 102.61°, γ = 90.00°
Space group C2/m (No. 12)
Unique sites:
Pr  0.137  0.000  0.069 [4 per cell]
Ho  0.001  0.500  0.804 [4 per cell]
C  0.000  0.000  0.000 [2 per cell]
I  0.160  0.500  0.363 [4 per cell]
I  0.166  0.500  0.798 [4 per cell]
Cl  0.000  0.000  0.500 [2 per cell]

(two)
Compound: Pr2Ho2CI4Cl
Source: OQMD via LeMat-Bulk
Functional: PBE
Structure: optimized geometry

a = 19.701 Å, b = 3.993 Å, c = 8.345 Å
α = 90.00°, β = 101.50°, γ = 90.00°
Space group C2/m (No. 12)
Unique sites:
Pr  0.001  0.000  0.288 [4 per cell]
Ho  0.124  0.500  0.563 [4 per cell]
C  0.000  0.500  0.500 [2 per cell]
I  0.164  0.000  0.841 [4 per cell]
I  0.170  0.000  0.326 [4 per cell]
Cl  0.000  0.500  0.000 [2 per cell]

Stability, lowest: (one)

(one)
Compound: Sm2Ho2CI2Cl3
Source: OQMD via LeMat-Bulk
Functional: PBE
Structure: optimized geometry

a = 18.413 Å, b = 3.821 Å, c = 7.955 Å
α = 90.00°, β = 100.68°, γ = 90.00°
Space group C2/m (No. 12)
Unique sites:
Sm  0.136  0.000  0.075 [4 per cell]
Ho  0.003  0.500  0.794 [4 per cell]
C  0.000  0.000  0.000 [2 per cell]
I  0.173  0.500  0.790 [4 per cell]
Cl  0.000  0.000  0.500 [2 per cell]
Cl  0.145  0.500  0.332 [4 per cell]

(two)
Compound: Sm2Ho2CI2Cl3
Source: OQMD via LeMat-Bulk
Functional: PBE
Structure: optimized geometry

a = 17.920 Å, b = 3.877 Å, c = 8.123 Å
α = 90.00°, β = 100.17°, γ = 90.00°
Space group C2/m (No. 12)
Unique sites:
Sm  0.006  0.000  0.291 [4 per cell]
Ho  0.135  0.500  0.563 [4 per cell]
C  0.000  0.500  0.500 [2 per cell]
I  0.169  0.000  0.851 [4 per cell]
Cl  0.000  0.500  0.000 [2 per cell]
Cl  0.171  0.000  0.353 [4 per cell]

(three)
Compound: Sm2Ho2CI2Cl3
Source: OQMD via LeMat-Bulk
Functional: PBE
Structure: optimized geometry

a = 18.468 Å, b = 3.869 Å, c = 8.026 Å
α = 90.00°, β = 100.93°, γ = 90.00°
Space group C2/m (No. 12)
Unique sites:
Sm  0.001  0.000  0.288 [4 per cell]
Ho  0.132  0.500  0.569 [4 per cell]
C  0.000  0.500  0.500 [2 per cell]
I  0.175  0.000  0.307 [4 per cell]
Cl  0.000  0.500  0.000 [2 per cell]
Cl  0.153  0.000  0.811 [4 per cell]

Stability, lowest: (two)